{"formula": "SrCaBiCl", "functional": "PBE-GGA", "state": "optimized geometry", "space_group": "F-43m", "formation_energy_uncorrected_ev_per_fu": -5.192, "magmom_total_mub_per_cell": 0.00, "lattice": [[5.585, 0.000, 0.000], [2.793, 4.837, 0.000], [2.793, 1.612, 4.560]], "species": ["Sr", "Ca", "Bi", "Cl"], "fractional_positions": [[0.500, 0.500, 0.500], [0.000, 0.000, 0.000], [0.750, 0.750, 0.750], [0.250, 0.250, 0.250]]}